Entry from Alexandria: a relaxed structure of GaReHRh2 (PBE).

Output
space-group type: P4/mmm (123)
DOS(E_F): 1.0436 states/eV/atom
crystal system: tetragonal

abc: 3.9010 3.9010 3.9903
angles: 90.00 90.00 90.00
Sites, in units of the cell vectors:
Ga 0.0000 0.0000 0.0000
Re 0.5000 0.5000 0.0000
H 0.5000 0.5000 0.5000
Rh 0.0000 0.5000 0.5000
Rh 0.5000 0.0000 0.5000

---

Entry from Alexandria: a relaxed structure of GaReSnH2 (PBE).

Output
space-group type: P4/mmm (123)
DOS(E_F): 0.5408 states/eV/atom
crystal system: tetragonal

abc: 3.7175 3.7175 6.4279
angles: 90.00 90.00 90.00
Sites, in units of the cell vectors:
Ga 0.0000 0.0000 0.0000
Re 0.5000 0.5000 0.5000
Sn 0.0000 0.0000 0.5000
H 0.0000 0.5000 0.0000
H 0.5000 0.0000 0.0000

---

| no. | uncorrected energy (eV per formula unit) |
| --- | --- |
| 1 | -33.270 |
| 2 | -21.117 |